1.
Density functional theory data (PBE-GGA) for a relaxed structure of NaAg3I4. Values from VASP.

The structure in Quantum ESPRESSO input format:
```
&SYSTEM
  ibrav = 0, nat = 8, ntyp = 3
/
ATOMIC_SPECIES
Na 22.99 Na.upf
Ag 107.87 Ag.upf
I 126.90 I.upf
CELL_PARAMETERS angstrom
-3.385 3.385 6.701
3.385 -3.385 6.701
3.385 3.385 -6.701
ATOMIC_POSITIONS crystal
Na 0.000 0.000 0.000
Ag 0.250 0.750 0.500
Ag 0.500 0.500 0.000
Ag 0.750 0.250 0.500
I 0.132 0.132 0.527
I 0.395 0.868 0.000
I 0.605 0.605 0.473
I 0.868 0.395 0.000
```

Calculated values
E_tot ... -2.503 eV per atom
Raw formation energy ... -47.6 kJ/mol of atoms

2.
Density functional theory data (PBE-GGA) for a relaxed structure of NaAgI2. Values from VASP.

The structure in Quantum ESPRESSO input format:
```
&SYSTEM
  ibrav = 0, nat = 8, ntyp = 3
/
ATOMIC_SPECIES
Na 22.99 Na.upf
Ag 107.87 Ag.upf
I 126.90 I.upf
CELL_PARAMETERS angstrom
-3.468 3.468 6.773
3.468 -3.468 6.773
3.468 3.468 -6.773
ATOMIC_POSITIONS crystal
Na 0.000 0.000 0.000
Na 0.750 0.250 0.500
Ag 0.250 0.750 0.500
Ag 0.500 0.500 0.000
I 0.152 0.625 0.027
I 0.375 0.402 0.527
I 0.598 0.125 0.973
I 0.875 0.848 0.473
```

Calculated values
E_tot ... -2.550 eV per atom
Energy above the most stable polymorph in this dataset ... 0 meV per atom
Raw formation energy ... -70.6 kJ/mol of atoms

3.
Density functional theory data (PBE-GGA) for a relaxed structure of NaAg2I. Values from VASP.

The structure in Quantum ESPRESSO input format:
```
&SYSTEM
  ibrav = 0, nat = 8, ntyp = 3
/
ATOMIC_SPECIES
Na 22.99 Na.upf
Ag 107.87 Ag.upf
I 126.90 I.upf
CELL_PARAMETERS angstrom
-4.545 4.545 2.877
4.545 -4.545 2.877
4.545 4.545 -2.877
ATOMIC_POSITIONS crystal
Na 0.000 0.000 0.000
Na 0.750 0.250 0.500
Ag 0.160 0.125 0.535
Ag 0.375 0.840 0.965
Ag 0.590 0.625 0.465
Ag 0.875 0.410 0.035
I 0.250 0.750 0.500
I 0.500 0.500 0.000
```

Calculated values
E_tot ... -2.096 eV per atom
Energy above the most stable polymorph in this dataset ... 0 meV per atom
Raw formation energy ... 4.6 kJ/mol of atoms

4.
Density functional theory data (PBE-GGA) for a relaxed structure of Na3AgI. Values from VASP.

The structure in Quantum ESPRESSO input format:
```
&SYSTEM
  ibrav = 0, nat = 5, ntyp = 3
/
ATOMIC_SPECIES
Na 22.99 Na.upf
Ag 107.87 Ag.upf
I 126.90 I.upf
CELL_PARAMETERS angstrom
5.703 0.000 0.000
0.000 5.703 0.000
0.000 0.000 5.703
ATOMIC_POSITIONS crystal
Na 0.000 0.000 0.500
Na 0.000 0.500 0.000
Na 0.500 0.000 0.000
Ag 0.000 0.000 0.000
I 0.500 0.500 0.500
```

Calculated values
E_tot ... -1.901 eV per atom
Energy above the most stable polymorph in this dataset ... 0 meV per atom
Raw formation energy ... -22.1 kJ/mol of atoms